(1)
# PBE-GGA U6SiSe12, optimized geometry
# Uncorrected formation energy (eV per atom): -0.990
# N(E_F) (states/eV/cell): 117.7
# Uncorrected energy (eV/atom): -7.041
data_U6SiSe12
_cell_length_a 12.4835
_cell_length_b 12.4835
_cell_length_c 11.3629
_cell_angle_alpha 90.00
_cell_angle_beta 90.00
_cell_angle_gamma 120.00
_symmetry_space_group_name_H-M 'R -3'
_symmetry_Int_Tables_number 148
_symmetry_space_group_name_Hall '-R 3'
loop_
_atom_site_label
_atom_site_type_symbol
_atom_site_fract_x
_atom_site_fract_y
_atom_site_fract_z
U1 U 0.0543 0.2767 0.1481
Si1 Si 0.0000 0.0000 0.5000
Se1 Se 0.0355 0.2157 0.8932
Se2 Se 0.0519 0.2014 0.3882

(2)
# PBE-GGA USiSe3, optimized geometry
# Uncorrected formation energy (eV per atom): -0.570
# N(E_F) (states/eV/cell): 28.2
# Uncorrected energy (eV/atom): -6.003
data_USiSe3
_cell_length_a 14.140
_cell_length_b 5.587
_cell_length_c 5.467
_cell_angle_alpha 90.00
_cell_angle_beta 100.13
_cell_angle_gamma 90.00
_symmetry_space_group_name_H-M 'C 1 2 1'
_symmetry_Int_Tables_number 5
_symmetry_space_group_name_Hall 'C 2y'
loop_
_atom_site_label
_atom_site_type_symbol
_atom_site_fract_x
_atom_site_fract_y
_atom_site_fract_z
U1 U 0.118 0.000 0.293
Si1 Si 0.250 0.254 0.001
Se1 Se 0.072 0.250 0.772
Se2 Se 0.072 0.751 0.772
Se3 Se 0.194 0.499 0.360

(3)
# PBE-GGA USiSe4, optimized geometry
# Uncorrected formation energy (eV per atom): -0.512
# N(E_F) (states/eV/cell): 12.0
# Uncorrected energy (eV/atom): -5.620
data_USiSe4
_cell_length_a 6.743
_cell_length_b 6.743
_cell_length_c 7.489
_cell_angle_alpha 90.00
_cell_angle_beta 90.00
_cell_angle_gamma 90.00
_symmetry_space_group_name_H-M 'P -4 2 c'
_symmetry_Int_Tables_number 112
_symmetry_space_group_name_Hall 'P -4 2c'
loop_
_atom_site_label
_atom_site_type_symbol
_atom_site_fract_x
_atom_site_fract_y
_atom_site_fract_z
U1 U 0.000 0.000 0.000
Si1 Si 0.000 0.500 0.250
Se1 Se 0.242 0.253 0.300

(4)
# PBE-GGA USi2Se6, optimized geometry
# Uncorrected formation energy (eV per atom): -0.516
# N(E_F) (states/eV/cell): 0.7
# Uncorrected energy (eV/atom): -5.298
data_USi2Se6
_cell_length_a 6.5961
_cell_length_b 6.5961
_cell_length_c 21.5176
_cell_angle_alpha 90.00
_cell_angle_beta 90.00
_cell_angle_gamma 120.00
_symmetry_space_group_name_H-M 'R 3'
_symmetry_Int_Tables_number 146
_symmetry_space_group_name_Hall 'R 3'
loop_
_atom_site_label
_atom_site_type_symbol
_atom_site_fract_x
_atom_site_fract_y
_atom_site_fract_z
U1 U 0.0000 0.0000 0.0000
Si1 Si 0.0000 0.0000 0.2804
Si2 Si 0.0000 0.0000 0.3863
Se1 Se 0.0144 0.3634 0.7520
Se2 Se 0.0146 0.6503 0.5813

(5)
# PBE-GGA V2SiSe, optimized geometry
# Uncorrected formation energy (eV per atom): 0.319
# ΔE to the lowest computed polymorph (meV per atom): 405
# N(E_F) (states/eV/cell): 16.7
# Uncorrected energy (eV/atom): -6.467
data_V2SiSe
_cell_length_a 5.639
_cell_length_b 5.639
_cell_length_c 11.354
_cell_angle_alpha 90.00
_cell_angle_beta 90.00
_cell_angle_gamma 90.00
_symmetry_space_group_name_H-M 'I -4 2 d'
_symmetry_Int_Tables_number 122
_symmetry_space_group_name_Hall 'I -4 2bw'
loop_
_atom_site_label
_atom_site_type_symbol
_atom_site_fract_x
_atom_site_fract_y
_atom_site_fract_z
V1 V 0.244 0.250 0.125
Si1 Si 0.000 0.000 0.000
Se1 Se 0.000 0.000 0.500

(6)
# PBE-GGA VSi2Se8, optimized geometry
# Uncorrected formation energy (eV per atom): -0.239
# N(E_F) (states/eV/cell): 6.6
# Uncorrected energy (eV/atom): -4.588
data_VSi2Se8
_cell_length_a 12.009
_cell_length_b 9.297
_cell_length_c 5.571
_cell_angle_alpha 90.00
_cell_angle_beta 98.92
_cell_angle_gamma 90.00
_symmetry_space_group_name_H-M 'C 1 2/m 1'
_symmetry_Int_Tables_number 12
_symmetry_space_group_name_Hall '-C 2y'
loop_
_atom_site_label
_atom_site_type_symbol
_atom_site_fract_x
_atom_site_fract_y
_atom_site_fract_z
V1 V 0.000 0.000 0.000
Si1 Si 0.183 0.000 0.597
Se1 Se 0.065 0.190 0.698
Se2 Se 0.145 0.500 0.209
Se3 Se 0.196 0.000 0.188

(7)
# PBE-GGA V2SiSe2, optimized geometry
# Uncorrected formation energy (eV per atom): 0.059
# ΔE to the lowest computed polymorph (meV per atom): 0
# N(E_F) (states/eV/cell): 6.6
# Uncorrected energy (eV/atom): -6.067
data_V2SiSe2
_cell_length_a 3.544
_cell_length_b 3.544
_cell_length_c 14.982
_cell_angle_alpha 90.00
_cell_angle_beta 90.00
_cell_angle_gamma 90.00
_symmetry_space_group_name_H-M 'I 4/m m m'
_symmetry_Int_Tables_number 139
_symmetry_space_group_name_Hall '-I 4 2'
loop_
_atom_site_label
_atom_site_type_symbol
_atom_site_fract_x
_atom_site_fract_y
_atom_site_fract_z
V1 V 0.000 0.500 0.250
Si1 Si 0.000 0.000 0.000
Se1 Se 0.000 0.000 0.370

(8)
# PBE-GGA V2SiSe, optimized geometry
# Uncorrected formation energy (eV per atom): -0.086
# ΔE to the lowest computed polymorph (meV per atom): 0
# N(E_F) (states/eV/cell): 11.9
# Uncorrected energy (eV/atom): -6.872
data_V2SiSe
_cell_length_a 6.091
_cell_length_b 6.091
_cell_length_c 6.091
_cell_angle_alpha 90.00
_cell_angle_beta 90.00
_cell_angle_gamma 90.00
_symmetry_space_group_name_H-M 'F m -3 m'
_symmetry_Int_Tables_number 225
_symmetry_space_group_name_Hall '-F 4 2 3'
loop_
_atom_site_label
_atom_site_type_symbol
_atom_site_fract_x
_atom_site_fract_y
_atom_site_fract_z
V1 V 0.250 0.250 0.250
Si1 Si 0.000 0.000 0.000
Se1 Se 0.000 0.000 0.500

(9)
# PBE-GGA V2Si2Se, optimized geometry
# Uncorrected formation energy (eV per atom): -0.185
# N(E_F) (states/eV/cell): 8.6
# Uncorrected energy (eV/atom): -6.698
data_V2Si2Se
_cell_length_a 6.678
_cell_length_b 6.678
_cell_length_c 3.314
_cell_angle_alpha 90.00
_cell_angle_beta 90.00
_cell_angle_gamma 90.00
_symmetry_space_group_name_H-M 'P 4/m b m'
_symmetry_Int_Tables_number 127
_symmetry_space_group_name_Hall '-P 4 2ab'
loop_
_atom_site_label
_atom_site_type_symbol
_atom_site_fract_x
_atom_site_fract_y
_atom_site_fract_z
V1 V 0.165 0.335 0.000
Si1 Si 0.128 0.628 0.500
Se1 Se 0.000 0.000 0.000

(10)
# PBE-GGA V3SiSe, optimized geometry
# Uncorrected formation energy (eV per atom): 0.698
# ΔE to the lowest computed polymorph (meV per atom): 0
# N(E_F) (states/eV/cell): 6.9
# Uncorrected energy (eV/atom): -6.554
data_V3SiSe
_cell_length_a 4.588
_cell_length_b 4.588
_cell_length_c 4.588
_cell_angle_alpha 90.00
_cell_angle_beta 90.00
_cell_angle_gamma 90.00
_symmetry_space_group_name_H-M 'P m -3 m'
_symmetry_Int_Tables_number 221
_symmetry_space_group_name_Hall '-P 4 2 3'
loop_
_atom_site_label
_atom_site_type_symbol
_atom_site_fract_x
_atom_site_fract_y
_atom_site_fract_z
V1 V 0.000 0.000 0.500
Si1 Si 0.000 0.000 0.000
Se1 Se 0.500 0.500 0.500

(11)
# PBE-GGA VSiSe, optimized geometry
# Uncorrected formation energy (eV per atom): -0.204
# N(E_F) (states/eV/cell): 5.8
# Uncorrected energy (eV/atom): -6.213
data_VSiSe
_cell_length_a 12.586
_cell_length_b 3.086
_cell_length_c 5.476
_cell_angle_alpha 90.00
_cell_angle_beta 108.23
_cell_angle_gamma 90.00
_symmetry_space_group_name_H-M 'C 1 2/m 1'
_symmetry_Int_Tables_number 12
_symmetry_space_group_name_Hall '-C 2y'
loop_
_atom_site_label
_atom_site_type_symbol
_atom_site_fract_x
_atom_site_fract_y
_atom_site_fract_z
V1 V 0.247 0.000 0.247
Si1 Si 0.100 0.000 0.497
Se1 Se 0.112 0.500 0.974

(12)
# PBE-GGA VSiSe3, optimized geometry
# Uncorrected formation energy (eV per atom): 0.436
# ΔE to the lowest computed polymorph (meV per atom): 159
# N(E_F) (states/eV/cell): 3.6
# Uncorrected energy (eV/atom): -4.563
data_VSiSe3
_cell_length_a 4.794
_cell_length_b 4.794
_cell_length_c 4.794
_cell_angle_alpha 90.00
_cell_angle_beta 90.00
_cell_angle_gamma 90.00
_symmetry_space_group_name_H-M 'P m -3 m'
_symmetry_Int_Tables_number 221
_symmetry_space_group_name_Hall '-P 4 2 3'
loop_
_atom_site_label
_atom_site_type_symbol
_atom_site_fract_x
_atom_site_fract_y
_atom_site_fract_z
V1 V 0.000 0.000 0.000
Si1 Si 0.500 0.500 0.500
Se1 Se 0.000 0.500 0.500

Among the records above, which one has the highest uncorrected formation energy?
V3SiSe

Among the records above, which one has the highest uncorrected formation energy?
V3SiSe

Number 4 is which compound?
USi2Se6

What is the uncorrected formation energy in the twelfth record?
0.436 eV per atom